[1]
A geometry-optimized Be17ZnW structure. Source: the Alexandria database, functional PBE-GGA.

a b c (Å): 5.5509 5.5509 5.5509
angles (deg): 81.91 81.91 81.91
With the nearest neighbours (Å) after each atom.
Atoms (fractional coordinates):
Be 0.3434 0.3434 0.8352  9 Be 2.10-2.29
Be 0.0018 0.3022 0.6887  8 Be 2.09-2.28
Be 0.5012 0.9852 0.9852  10 Be 2.06-2.26
Be 0.1558 0.6589 0.6589  9 Be 2.06-2.24
Be 0.3022 0.0018 0.6887  8 Be 2.09-2.28
Be 0.0018 0.6887 0.3022  8 Be 2.09-2.28
Be 0.8352 0.3434 0.3434  9 Be 2.10-2.29
Be 0.9852 0.9852 0.5012  10 Be 2.06-2.26
Be 0.6887 0.0018 0.3022  8 Be 2.09-2.28
Be 0.6589 0.1558 0.6589  9 Be 2.06-2.24
Be 0.3022 0.6887 0.0018  8 Be 2.09-2.28
Be 0.6887 0.3022 0.0018  8 Be 2.09-2.28
Be 0.6589 0.6589 0.1558  9 Be 2.06-2.24
Be 0.8963 0.8963 0.8963  7 Be 2.18-2.23
Be 0.9852 0.5012 0.9852  10 Be 2.06-2.26
Be 0.0972 0.0972 0.0972  7 Be 2.19-2.29
Be 0.3434 0.8352 0.3434  9 Be 2.10-2.29
W 0.6662 0.6662 0.6662  16 Be 2.50-2.71
Zn 0.3876 0.3876 0.3876  12 Be 2.40-2.58

Computed properties:
Spin magnetization = 0.00 μB/f.u.
Total DFT energy (no corrections) = -4.1207 eV per atom
DOS(E_F) = 2.630 states/eV/f.u.
Formation energy from the elements = -0.038 eV/atom
Crystal system = trigonal
Mass density = 4.0 g/cm³

[2]
A geometry-optimized Rb2NbCuS4 structure. Source: the Alexandria database, functional PBE-GGA.

a b c (Å): 5.5879 7.5001 12.4376
angles (deg): 85.20 77.02 68.13
With the nearest neighbours (Å) after each atom.
Atoms (fractional coordinates):
Rb 0.8233 0.0000 0.3534  8 S 3.54-3.74
Rb 0.5733 0.5000 0.8534  8 S 3.54-3.74
Rb 0.1767 0.0000 0.6466  8 S 3.54-3.74
Rb 0.9267 0.5000 0.1466  8 S 3.54-3.74
Nb 0.2500 0.5000 0.5000  4 S 2.31
Nb 0.5000 0.0000 0.0000  4 S 2.31
S 0.8547 0.6918 0.6064  1 Nb 2.31, 1 Cu 2.34
S 0.2110 0.1918 0.8936  1 Nb 2.31, 1 Cu 2.34
S 0.2964 0.8082 0.1064  1 Nb 2.31, 1 Cu 2.34
S 0.8953 0.8082 0.8936  1 Nb 2.31, 1 Cu 2.34
S 0.4536 0.6918 0.3936  1 Nb 2.31, 1 Cu 2.34
S 0.5390 0.3082 0.6064  1 Nb 2.31, 1 Cu 2.34
S 0.1528 0.3082 0.3936  1 Nb 2.31, 1 Cu 2.34
S 0.5972 0.1918 0.1064  1 Nb 2.31, 1 Cu 2.34
Cu 0.0000 0.0000 0.0000  4 S 2.34
Cu 0.7500 0.5000 0.5000  4 S 2.34

Computed properties:
Distance to the lowest polymorph of the same formula = 0.006 eV/atom
E_form (uncorrected) = -1.070 eV/atom
Spin magnetization = 0.00 μB/f.u.
Total DFT energy (no corrections) = -5.1465 eV per atom
DOS(E_F) = 0.000 states/eV/f.u.
Crystal system = orthorhombic
Mass density = 3.2 g/cm³

[3]
A geometry-optimized Sm4CdAg structure. Source: the Alexandria database, functional PBE-GGA.

a b c (Å): 3.7049 3.7049 12.7808
angles (deg): 90.00 90.00 90.00
With the nearest neighbours (Å) after each atom.
Atoms (fractional coordinates):
Cd 0.0000 0.0000 0.0000  8 Sm 3.31
Ag 0.5000 0.5000 0.5000  8 Sm 3.21
Sm 0.0000 0.0000 0.6458  4 Ag 3.21
Sm 0.0000 0.0000 0.3542  4 Ag 3.21
Sm 0.5000 0.5000 0.1578  4 Cd 3.31, 4 Sm 3.63
Sm 0.5000 0.5000 0.8422  4 Cd 3.31, 4 Sm 3.63

Computed properties:
Distance to the lowest polymorph of the same formula = 0.000 eV/atom
Spin magnetization = 1.25 μB/f.u.
Total DFT energy (no corrections) = -3.9484 eV per atom
DOS(E_F) = 7.371 states/eV/f.u.
Formation energy from the elements = -0.175 eV/atom
Crystal system = tetragonal
Mass density = 7.8 g/cm³

[4]
A geometry-optimized BaPuHg4 structure. Source: the Alexandria database, functional PBE-GGA.

a b c (Å): 3.5638 5.1696 9.0964
angles (deg): 90.01 90.00 90.00
With the nearest neighbours (Å) after each atom.
Atoms (fractional coordinates):
Hg 0.4987 0.9971 0.1566  3 Hg 2.88-2.98
Hg 0.4986 0.4972 0.3202  3 Hg 2.98-3.24
Hg 0.4986 0.4974 0.6762  3 Hg 2.98-3.24
Hg 0.4984 0.9974 0.8396  3 Hg 2.88-2.98
Pu 0.9986 0.4973 0.9981  12 Hg 3.43-3.46, 2 Pu 3.56
Ba 0.9986 0.9973 0.4981  12 Hg 3.53-3.58, 2 Ba 3.56

Computed properties:
Distance to the lowest polymorph of the same formula = 0.000 eV/atom
Spin magnetization = 5.84 μB/f.u.
Total DFT energy (no corrections) = -3.1953 eV per atom
DOS(E_F) = 11.839 states/eV/f.u.
Formation energy from the elements = -0.285 eV/atom
Crystal system = orthorhombic
Mass density = 11.7 g/cm³

[5]
A geometry-optimized PmTlAgAs structure. Source: the Alexandria database, functional PBE-GGA.

a b c (Å): 5.1720 5.1720 5.1720
angles (deg): 60.00 60.00 60.00
With the nearest neighbours (Å) after each atom.
Atoms (fractional coordinates):
Pm 0.7500 0.7500 0.7500  4 As 3.17, 4 Ag 3.17
Ag 0.0000 0.0000 0.0000  4 Tl 3.17, 4 Pm 3.17
Tl 0.2500 0.2500 0.2500  4 Ag 3.17, 4 As 3.17
As 0.5000 0.5000 0.5000  4 Tl 3.17, 4 Pm 3.17

Computed properties:
Spin magnetization = 0.00 μB/f.u.
Total DFT energy (no corrections) = -3.9851 eV per atom
DOS(E_F) = 1.591 states/eV/f.u.
Formation energy from the elements = -0.331 eV/atom
Crystal system = cubic
Mass density = 9.0 g/cm³

[6]
A geometry-optimized BaHg6O8 structure. Source: the Alexandria database, functional PBE-GGA.

a b c (Å): 6.3887 6.3887 6.3887
angles (deg): 99.14 99.14 99.14
With the nearest neighbours (Å) after each atom.
Atoms (fractional coordinates):
Hg 0.1115 0.3079 0.5563  3 O 2.15-2.37
Hg 0.8885 0.6921 0.4437  3 O 2.15-2.37
Hg 0.6921 0.4437 0.8885  3 O 2.15-2.37
Hg 0.4437 0.8885 0.6921  3 O 2.15-2.37
Hg 0.3079 0.5563 0.1115  3 O 2.15-2.37
Hg 0.5563 0.1115 0.3079  3 O 2.15-2.37
O 0.6567 0.8179 0.1827  2 Hg 2.15-2.37
O 0.1827 0.6567 0.8179  2 Hg 2.15-2.37
O 0.8173 0.3433 0.1821  2 Hg 2.15-2.37
O 0.1821 0.8173 0.3433  2 Hg 2.15-2.37
O 0.6847 0.6847 0.6847  3 Hg 2.17
O 0.3433 0.1821 0.8173  2 Hg 2.15-2.37
O 0.3153 0.3153 0.3153  3 Hg 2.17
O 0.8179 0.1827 0.6567  2 Hg 2.15-2.37
Ba 0.0000 0.0000 0.0000  8 O 2.82-2.88

Computed properties:
E_form (uncorrected) = -0.428 eV/atom
Spin magnetization = 1.63 μB/f.u.
Total DFT energy (no corrections) = -3.3214 eV per atom
DOS(E_F) = 10.045 states/eV/f.u.
Crystal system = trigonal
Mass density = 9.8 g/cm³

[7]
A geometry-optimized MnCd2TcPt structure. Source: the Alexandria database, functional PBE-GGA.

a b c (Å): 5.0987 4.8686 5.0987
angles (deg): 90.00 90.00 90.00
With the nearest neighbours (Å) after each atom.
Atoms (fractional coordinates):
Cd 0.0000 0.0000 0.5000  2 Pt 2.55
Cd 0.5000 0.0000 0.0000  2 Pt 2.55
Tc 0.0000 0.5000 0.0000  2 Pt 2.43
Pt 0.0000 0.0000 0.0000  2 Tc 2.43, 4 Cd 2.55
Mn 0.5000 0.5000 0.5000  8 Cd 3.52, 4 Tc 3.61

Computed properties:
Spin magnetization = 2.79 μB/f.u.
Total DFT energy (no corrections) = -4.4163 eV per atom
DOS(E_F) = 4.873 states/eV/f.u.
Formation energy from the elements = 1.065 eV/atom
Crystal system = tetragonal
Mass density = 7.5 g/cm³

[8]
A geometry-optimized NaYNCl2 structure. Source: the Alexandria database, functional PBE-GGA.

a b c (Å): 5.4737 4.1860 5.4737
angles (deg): 90.00 90.00 90.00
With the nearest neighbours (Å) after each atom.
Atoms (fractional coordinates):
Y 0.0000 0.0000 0.0000  2 N 2.09
N 0.0000 0.5000 0.0000  2 Y 2.09
Cl 0.0000 0.0000 0.5000  2 Y 2.74
Cl 0.5000 0.0000 0.0000  2 Y 2.74
Na 0.5000 0.5000 0.5000  8 Cl 3.45

Computed properties:
E_form (uncorrected) = -1.104 eV/atom
Spin magnetization = 0.35 μB/f.u.
Total DFT energy (no corrections) = -5.0647 eV per atom
DOS(E_F) = 2.599 states/eV/f.u.
Crystal system = tetragonal
Mass density = 2.6 g/cm³

[9]
A geometry-optimized Tb2PmTmP4 structure. Source: the Alexandria database, functional PBE-GGA.

a b c (Å): 4.0375 6.9872 6.9886
angles (deg): 109.47 90.00 90.00
With the nearest neighbours (Å) after each atom.
Atoms (fractional coordinates):
Tb 0.0000 0.5000 0.5000  6 P 2.87
Tb 0.5000 0.0000 0.5000  6 P 2.83
P 0.5000 0.7554 0.7513  3 Tb 2.83-2.87, 2 Tm 2.84, 1 Pm 2.88
P 0.0000 0.2442 0.7474  3 Tb 2.83-2.87, 1 Tm 2.83, 2 Pm 2.88
P 0.5000 0.2446 0.2487  3 Tb 2.83-2.87, 2 Tm 2.84, 1 Pm 2.88
P 0.0000 0.7558 0.2526  3 Tb 2.83-2.87, 1 Tm 2.83, 2 Pm 2.88
Tm 0.0000 0.0000 0.0000  6 P 2.83-2.84
Pm 0.5000 0.5000 0.0000  6 P 2.88

Computed properties:
Spin magnetization = 0.00 μB/f.u.
Total DFT energy (no corrections) = -6.6050 eV per atom
DOS(E_F) = 0.754 states/eV/f.u.
Formation energy from the elements = -1.590 eV/atom
Crystal system = monoclinic
Mass density = 6.8 g/cm³

[10]
A geometry-optimized ZrSbRu2 structure. Source: the Alexandria database, functional PBE-GGA.

a b c (Å): 4.4146 3.0462 5.3091
angles (deg): 86.47 90.00 90.00
With the nearest neighbours (Å) after each atom.
Atoms (fractional coordinates):
Zr 0.5000 0.7500 0.7500  4 Ru 2.75, 2 Sb 2.98, 2 Zr 3.05
Ru 0.0000 0.4661 0.4970  2 Sb 2.67, 2 Zr 2.75, 1 Ru 2.92
Ru 0.0000 0.0339 0.0030  2 Sb 2.67, 2 Zr 2.75, 1 Ru 2.92
Sb 0.5000 0.2500 0.2500  4 Ru 2.67, 2 Zr 2.98

Computed properties:
E_form (uncorrected) = -0.045 eV/atom
Spin magnetization = 0.00 μB/f.u.
Total DFT energy (no corrections) = -7.8509 eV per atom
DOS(E_F) = 3.560 states/eV/f.u.
Crystal system = monoclinic
Mass density = 9.7 g/cm³